A plane-wave DFT calculation with PBE was carried out for an optimized crystal structure of TeS2N2.

It has space group P4/mmm (No. 123), with a = 3.7875 Å, b = 3.7875 Å, c = 4.6033 Å, α = 90.00°, β = 90.00° and γ = 90.00°. The inequivalent atoms are Te at (0.0000, 0.0000, 0.0000), S at (0.5000, 0.5000, 0.0000), S at (0.5000, 0.5000, 0.5000) and N at (0.0000, 0.5000, 0.5000).

As for the formation energy (no corrections): 1.566 eV/atom. The total energy is -4.04 eV/atom. Its energy relative to the lowest polymorph listed for this composition is 1508 meV/atom.

A plane-wave DFT calculation with PBE was carried out for an optimized crystal structure of K2Nb3S8.

It has space group C2/m (No. 12), with a = 15.9075 Å, b = 7.1074 Å, c = 6.2165 Å, α = 90.00°, β = 106.12° and γ = 90.00°. The inequivalent atoms are K at (0.2466, 0.0000, 0.1765), Nb at (0.0000, 0.2324, 0.5000), Nb at (0.0000, 0.5000, 0.0000), S at (0.0909, 0.2589, 0.8896), S at (0.0933, 0.5000, 0.3916) and S at (0.1000, 0.0000, 0.4345).

As for the formation energy (no corrections): -0.994 eV/atom. The total energy is -6.03 eV/atom.

A plane-wave DFT calculation with PBE was carried out for an optimized crystal structure of CsAs2H2.

It has space group C2/m (No. 12), with a = 11.4768 Å, b = 4.6649 Å, c = 4.4751 Å, α = 90.00°, β = 92.66° and γ = 90.00°. The inequivalent atoms are Cs at (0.0000, 0.0000, 0.0000), As at (0.1975, 0.5000, 0.4891) and H at (0.1978, 0.5000, 0.8366).

The total energy is -3.56 eV/atom. Its energy relative to the lowest polymorph listed for this composition is 0 meV/atom.

A plane-wave DFT calculation with PBE was carried out for an optimized crystal structure of NaSrGdSeO6.

It has space group F-43m (No. 216), with a = 8.1090 Å, b = 8.1090 Å, c = 8.1090 Å, α = 90.00°, β = 90.00° and γ = 90.00°. The inequivalent atoms are Na at (0.0000, 0.0000, 0.0000), Sr at (0.0000, 0.0000, 0.5000), Gd at (0.2500, 0.2500, 0.7500), Se at (0.2500, 0.2500, 0.2500) and O at (0.0252, 0.2500, 0.2500).

As for the formation energy (no corrections): -1.989 eV/atom. The total energy is -7.02 eV/atom.

A plane-wave DFT calculation with PBE was carried out for an optimized crystal structure of NpSn2Ru.

It has space group Fmmm (No. 69), with a = 8.5557 Å, b = 8.5947 Å, c = 9.3903 Å, α = 90.00°, β = 90.00° and γ = 90.00°. The inequivalent atoms are Np at (0.0000, 0.1985, 0.0000), Sn at (0.0000, 0.0000, 0.2929), Sn at (0.2500, 0.2500, 0.2500) and Ru at (0.2483, 0.0000, 0.0000).

The total energy is -7.52 eV/atom.

A plane-wave DFT calculation with PBE was carried out for an optimized crystal structure of NaTiPb3.

It has space group Pm-3m (No. 221), with a = 5.4559 Å, b = 5.4559 Å, c = 5.4559 Å, α = 90.00°, β = 90.00° and γ = 90.00°. The inequivalent atoms are Na at (0.0000, 0.0000, 0.0000), Ti at (0.5000, 0.5000, 0.5000) and Pb at (0.0000, 0.5000, 0.5000).

The total energy is -4.00 eV/atom. Its energy relative to the lowest polymorph listed for this composition is 0 meV/atom.

A plane-wave DFT calculation with PBE was carried out for an optimized crystal structure of GaSb2Rh2.

It has space group P4/mbm (No. 127), with a = 8.0021 Å, b = 8.0021 Å, c = 3.0570 Å, α = 90.00°, β = 90.00° and γ = 90.00°. The inequivalent atoms are Ga at (0.0000, 0.0000, 0.0000), Sb at (0.1549, 0.3451, 0.0000) and Rh at (0.1326, 0.6326, 0.5000).

As for the formation energy (no corrections): -0.081 eV/atom. The total energy is -5.28 eV/atom. Its energy relative to the lowest polymorph listed for this composition is 91 meV/atom.

A plane-wave DFT calculation with PBE was carried out for an optimized crystal structure of RbCa2TlFe.

It has space group P4/mmm (No. 123), with a = 5.5644 Å, b = 5.5644 Å, c = 6.2001 Å, α = 90.00°, β = 90.00° and γ = 90.00°. The inequivalent atoms are Rb at (0.0000, 0.0000, 0.0000), Ca at (0.0000, 0.5000, 0.5000), Tl at (0.5000, 0.5000, 0.0000) and Fe at (0.0000, 0.0000, 0.5000).

The total energy is -2.61 eV/atom.

A plane-wave DFT calculation with PBE was carried out for an optimized crystal structure of LaHoPu4.

It has space group F-43m (No. 216), with a = 8.7814 Å, b = 8.7814 Å, c = 8.7814 Å, α = 90.00°, β = 90.00° and γ = 90.00°. The inequivalent atoms are La at (0.0000, 0.0000, 0.0000), Ho at (0.2500, 0.2500, 0.7500) and Pu at (0.1249, 0.1249, 0.3751).

The total energy is -10.90 eV/atom.

A plane-wave DFT calculation with PBE was carried out for an optimized crystal structure of SrSbPt.

It has space group I4mm (No. 107), with a = 3.7290 Å, b = 3.7290 Å, c = 11.2825 Å, α = 90.00°, β = 90.00° and γ = 90.00°. The inequivalent atoms are Sr at (0.0000, 0.0000, 0.0000), Sb at (0.0000, 0.0000, 0.2860) and Pt at (0.0000, 0.0000, 0.7037).

As for the formation energy (no corrections): -0.572 eV/atom. The total energy is -4.52 eV/atom.

A plane-wave DFT calculation with PBE was carried out for an optimized crystal structure of SmGaAg2Se4.

It has space group Imma (No. 74), with a = 7.6549 Å, b = 8.5904 Å, c = 11.4932 Å, α = 90.00°, β = 90.00° and γ = 90.00°. The inequivalent atoms are Sm at (0.0000, 0.0000, 0.0000), Ga at (0.2500, 0.2500, 0.2500), Ag at (0.0000, 0.0000, 0.5000), Ag at (0.2500, 0.2500, 0.7500), Se at (0.0000, 0.0436, 0.2543) and Se at (0.2436, 0.2500, 0.5178).

As for the formation energy (no corrections): -0.684 eV/atom. The total energy is -4.11 eV/atom.

A plane-wave DFT calculation with PBE was carried out for an optimized crystal structure of MgCd2C.

It has space group Fm-3m (No. 225), with a = 6.5829 Å, b = 6.5829 Å, c = 6.5829 Å, α = 90.00°, β = 90.00° and γ = 90.00°. The inequivalent atoms are Mg at (0.0000, 0.0000, 0.0000), Cd at (0.2500, 0.2500, 0.2500) and C at (0.0000, 0.0000, 0.5000).

The total energy is -2.00 eV/atom. Its energy relative to the lowest polymorph listed for this composition is 243 meV/atom.

A plane-wave DFT calculation with PBE was carried out for an optimized crystal structure of Dy2ScUP4.

It has space group P2/m (No. 10), with a = 6.7729 Å, b = 3.9192 Å, c = 6.8094 Å, α = 90.00°, β = 109.22° and γ = 90.00°. The inequivalent atoms are Dy at (0.0000, 0.0000, 0.0000), Dy at (0.5000, 0.5000, 0.0000), Sc at (0.0000, 0.5000, 0.5000), U at (0.5000, 0.0000, 0.5000), P at (0.2441, 0.0000, 0.7360) and P at (0.2494, 0.5000, 0.2597).

The total energy is -7.47 eV/atom.

A plane-wave DFT calculation with PBE was carried out for an optimized crystal structure of TcIr2Cl2.

It has space group P4/mbm (No. 127), with a = 7.5312 Å, b = 7.5312 Å, c = 2.8178 Å, α = 90.00°, β = 90.00° and γ = 90.00°. The inequivalent atoms are Tc at (0.0000, 0.0000, 0.0000), Ir at (0.1959, 0.3041, 0.5000) and Cl at (0.1286, 0.6286, 0.0000).

As for the formation energy (no corrections): 1.326 eV/atom. The total energy is -5.03 eV/atom. Its energy relative to the lowest polymorph listed for this composition is 140 meV/atom.

A plane-wave DFT calculation with PBE was carried out for an optimized crystal structure of Ta2ZnAs.

It has space group Imm2 (No. 44), with a = 3.3474 Å, b = 4.4472 Å, c = 8.9901 Å, α = 90.00°, β = 90.00° and γ = 90.00°. The inequivalent atoms are Ta at (0.0000, 0.0000, 0.0000), Ta at (0.0000, 0.5000, 0.2427), Zn at (0.0000, 0.5000, 0.7634) and As at (0.0000, 0.0000, 0.5089).

The total energy is -7.38 eV/atom. Its energy relative to the lowest polymorph listed for this composition is 86 meV/atom.

A plane-wave DFT calculation with PBE was carried out for an optimized crystal structure of MgBeRh2Cl.

It has space group P4/mmm (No. 123), with a = 4.7251 Å, b = 4.7251 Å, c = 4.4720 Å, α = 90.00°, β = 90.00° and γ = 90.00°. The inequivalent atoms are Mg at (0.0000, 0.0000, 0.0000), Be at (0.5000, 0.5000, 0.5000), Rh at (0.0000, 0.5000, 0.0000) and Cl at (0.0000, 0.0000, 0.5000).

As for the formation energy (no corrections): 1.141 eV/atom. The total energy is -3.23 eV/atom.

A plane-wave DFT calculation with PBE was carried out for an optimized crystal structure of KTa4Br.

It has space group F-43m (No. 216), with a = 8.2546 Å, b = 8.2546 Å, c = 8.2546 Å, α = 90.00°, β = 90.00° and γ = 90.00°. The inequivalent atoms are K at (0.0000, 0.0000, 0.0000), Ta at (0.1334, 0.1334, 0.6334) and Br at (0.2500, 0.2500, 0.2500).

As for the formation energy (no corrections): 1.240 eV/atom. The total energy is -7.12 eV/atom.

A plane-wave DFT calculation with PBE was carried out for an optimized crystal structure of MgSc2In.

It has space group Pmm2 (No. 25), with a = 3.2691 Å, b = 4.5374 Å, c = 6.2896 Å, α = 90.00°, β = 90.00° and γ = 90.00°. The inequivalent atoms are Mg at (0.0000, 0.0000, 0.0000), Sc at (0.0000, 0.0000, 0.4962), Sc at (0.5000, 0.5000, 0.2422) and In at (0.5000, 0.5000, 0.7332).

The total energy is -4.40 eV/atom. Its energy relative to the lowest polymorph listed for this composition is 143 meV/atom.

A plane-wave DFT calculation with PBE was carried out for an optimized crystal structure of K2Rh2O5.

It has space group P4/mmm (No. 123), with a = 3.9008 Å, b = 3.9008 Å, c = 8.6792 Å, α = 90.00°, β = 90.00° and γ = 90.00°. The inequivalent atoms are K at (0.0000, 0.0000, 0.0000), K at (0.0000, 0.0000, 0.5000), Rh at (0.5000, 0.5000, 0.2324), O at (0.0000, 0.5000, 0.2699) and O at (0.5000, 0.5000, 0.0000).

As for the formation energy (no corrections): -0.853 eV/atom. The total energy is -5.48 eV/atom. Its energy relative to the lowest polymorph listed for this composition is 0 meV/atom.

A plane-wave DFT calculation with PBE was carried out for an optimized crystal structure of AlSiSe.

It has space group P3m1 (No. 156), with a = 4.9463 Å, b = 4.9463 Å, c = 2.6497 Å, α = 90.00°, β = 90.00° and γ = 120.00°. The inequivalent atoms are Al at (0.0000, 0.0000, 0.0000), Si at (0.3333, 0.6667, 0.9985) and Se at (0.6667, 0.3333, 0.0010).

As for the formation energy (no corrections): 0.278 eV/atom. The total energy is -3.94 eV/atom.

A plane-wave DFT calculation with PBE was carried out for an optimized crystal structure of K4TlSe.

It has space group F-43m (No. 216), with a = 10.1329 Å, b = 10.1329 Å, c = 10.1329 Å, α = 90.00°, β = 90.00° and γ = 90.00°. The inequivalent atoms are K at (0.1232, 0.1232, 0.1232), Tl at (0.0000, 0.0000, 0.5000) and Se at (0.2500, 0.2500, 0.7500).

As for the formation energy (no corrections): 0.055 eV/atom. The total energy is -1.65 eV/atom.

A plane-wave DFT calculation with PBE was carried out for an optimized crystal structure of Ac3La2Zn2Ni4.

It has space group P-3m1 (No. 164), with a = 4.3475 Å, b = 4.3475 Å, c = 17.2602 Å, α = 90.00°, β = 90.00° and γ = 120.00°. The inequivalent atoms are Ac at (0.0000, 0.0000, 0.0000), Ac at (0.0000, 0.0000, 0.2408), La at (0.3333, 0.6667, 0.5801), Zn at (0.3333, 0.6667, 0.1207), Ni at (0.3333, 0.6667, 0.3464) and Ni at (0.3333, 0.6667, 0.8800).

The total energy is -4.60 eV/atom.

A plane-wave DFT calculation with PBE was carried out for an optimized crystal structure of Cs2SnC2O6.

It has space group C2/m (No. 12), with a = 9.9587 Å, b = 5.7433 Å, c = 7.8267 Å, α = 90.00°, β = 115.11° and γ = 90.00°. The inequivalent atoms are Cs at (0.2133, 0.0000, 0.1412), Sn at (0.0000, 0.0000, 0.5000), C at (0.0963, 0.5000, 0.2912), O at (0.0293, 0.3029, 0.2871) and O at (0.2268, 0.5000, 0.2889).

As for the formation energy (no corrections): -1.520 eV/atom. The total energy is -6.42 eV/atom.

A plane-wave DFT calculation with PBE was carried out for an optimized crystal structure of Li3TlN.

It has space group Pm-3m (No. 221), with a = 4.1180 Å, b = 4.1180 Å, c = 4.1180 Å, α = 90.00°, β = 90.00° and γ = 90.00°. The inequivalent atoms are Li at (0.0000, 0.0000, 0.5000), Tl at (0.5000, 0.5000, 0.5000) and N at (0.0000, 0.0000, 0.0000).

As for the formation energy (no corrections): -0.169 eV/atom. The total energy is -3.46 eV/atom. Its energy relative to the lowest polymorph listed for this composition is 0 meV/atom.

A plane-wave DFT calculation with PBE was carried out for an optimized crystal structure of AcDy6Th.

It has space group P4/mmm (No. 123), with a = 5.0857 Å, b = 5.0857 Å, c = 10.2043 Å, α = 90.00°, β = 90.00° and γ = 90.00°. The inequivalent atoms are Ac at (0.0000, 0.0000, 0.0000), Dy at (0.0000, 0.5000, 0.2601), Dy at (0.5000, 0.5000, 0.0000), Dy at (0.5000, 0.5000, 0.5000) and Th at (0.0000, 0.0000, 0.5000).

The total energy is -4.85 eV/atom. Its energy relative to the lowest polymorph listed for this composition is 0 meV/atom.